{
  "formula": "CaInGe2Au6",
  "functional": "PBE",
  "state": "relaxed",
  "mass_density_g_cm3": 11.89,
  "n_ef_per_ev_atom": 0.288,
  "e_form_kj_per_mol_atoms": -22.6,
  "cell": [[6.7120, -7.7705, 0.0000], [6.7120, 7.7705, 0.0000], [-0.0118, 0.0000, 3.9668]],
  "species": ["Ca", "Ca", "In", "In", "Ge", "Ge", "Ge", "Ge", "Au", "Au", "Au", "Au", "Au", "Au", "Au", "Au", "Au", "Au", "Au", "Au"],
  "frac_coords": [[0.1096, 0.8904, 0.7500], [0.8904, 0.1096, 0.2500], [0.3574, 0.6426, 0.7500], [0.6426, 0.3574, 0.2500], [0.0478, 0.3941, 0.2519], [0.3941, 0.0478, 0.7519], [0.6059, 0.9522, 0.2481], [0.9522, 0.6059, 0.7481], [0.1090, 0.2318, 0.7501], [0.1402, 0.6502, 0.2469], [0.2318, 0.1090, 0.2501], [0.3089, 0.4350, 0.2489], [0.3498, 0.8598, 0.2531], [0.4350, 0.3089, 0.7489], [0.5650, 0.6911, 0.2511], [0.6502, 0.1402, 0.7469], [0.6911, 0.5650, 0.7511], [0.7682, 0.8910, 0.7499], [0.8598, 0.3498, 0.7531], [0.8910, 0.7682, 0.2499]]
}

{
  "formula": "CaInGeAu",
  "functional": "PBE",
  "state": "relaxed",
  "mass_density_g_cm3": 7.88,
  "n_ef_per_ev_atom": 0.222,
  "e_form_kj_per_mol_atoms": -38.4,
  "cell": [[0.0000, 3.5494, 3.5494], [3.5494, 0.0000, 3.5494], [3.5494, 3.5494, 0.0000]],
  "species": ["Ca", "In", "Ge", "Au"],
  "frac_coords": [[0.0000, 0.0000, 0.0000], [0.5000, 0.5000, 0.5000], [0.7500, 0.7500, 0.7500], [0.2500, 0.2500, 0.2500]]
}

{
  "formula": "Ca2Ge4Ir3Au",
  "functional": "PBE",
  "state": "relaxed",
  "mass_density_g_cm3": 9.96,
  "n_ef_per_ev_atom": 0.661,
  "e_form_kj_per_mol_atoms": -50.9,
  "cell": [[4.2957, 0.0000, 0.0000], [0.0000, 4.2957, 0.0000], [0.0000, 0.0000, 10.3339]],
  "species": ["Ca", "Ca", "Ge", "Ge", "Ge", "Ge", "Ir", "Ir", "Ir", "Au"],
  "frac_coords": [[0.0000, 0.5000, 0.2434], [0.5000, 0.0000, 0.7566], [0.0000, 0.0000, 0.0000], [0.0000, 0.5000, 0.6393], [0.5000, 0.0000, 0.3607], [0.5000, 0.5000, 0.0000], [0.0000, 0.5000, 0.8756], [0.5000, 0.0000, 0.1244], [0.5000, 0.5000, 0.5000], [0.0000, 0.0000, 0.5000]]
}

{
  "formula": "KCa2GeAu",
  "functional": "PBE",
  "state": "relaxed",
  "mass_density_g_cm3": 3.33,
  "n_ef_per_ev_atom": 0.746,
  "e_form_kj_per_mol_atoms": 92.6,
  "cell": [[6.1370, 0.0000, 0.0000], [0.0000, 6.1370, 0.0000], [0.0000, 0.0000, 5.1444]],
  "species": ["K", "Ca", "Ca", "Ge", "Au"],
  "frac_coords": [[0.0000, 0.0000, 0.0000], [0.0000, 0.5000, 0.0000], [0.5000, 0.0000, 0.0000], [0.0000, 0.0000, 0.5000], [0.5000, 0.5000, 0.5000]]
}